{
  "formula": "PaNiBi3",
  "functional": "PBE",
  "state": "relaxed",
  "delta_e_f_kj_per_mol_fu": -25,
  "lattice_angstrom": [[5.032, 0.000, 0.000], [0.000, 2.154, 6.147], [0.000, -2.154, 6.147]],
  "species": ["Pa", "Ni", "Bi", "Bi", "Bi"],
  "frac_coords": [[0.000, 0.000, 0.000], [0.000, 0.634, 0.634], [0.000, 0.286, 0.286], [0.500, 0.546, 0.546], [0.500, 0.812, 0.812]]
}

{
  "formula": "Al3Ga2Tc2",
  "functional": "PBE",
  "state": "relaxed",
  "delta_e_f_kj_per_mol_fu": -187,
  "lattice_angstrom": [[-1.591, 2.067, 8.247], [1.591, -2.067, 8.247], [1.591, 2.067, -8.247]],
  "species": ["Al", "Al", "Al", "Ga", "Ga", "Tc", "Tc"],
  "frac_coords": [[0.000, 0.000, 0.000], [0.259, 0.259, 0.000], [0.741, 0.741, 0.000], [0.398, 0.898, 0.500], [0.602, 0.102, 0.500], [0.132, 0.632, 0.500], [0.868, 0.368, 0.500]]
}

{
  "formula": "BRhN2",
  "functional": "PBE",
  "state": "relaxed",
  "formation_energy_uncorrected_mev_per_atom": -74,
  "lattice_angstrom": [[-2.153, 2.153, 3.720], [2.153, -2.153, 3.720], [2.153, 2.153, -3.720]],
  "species": ["B", "B", "Rh", "Rh", "N", "N", "N", "N"],
  "frac_coords": [[0.000, 0.000, 0.000], [0.750, 0.250, 0.500], [0.250, 0.750, 0.500], [0.500, 0.500, 0.000], [0.033, 0.625, 0.908], [0.375, 0.283, 0.408], [0.717, 0.125, 0.092], [0.875, 0.967, 0.592]]
}

| no. | volume (Å³ per cell) | mass density (g cm⁻³) | total magnetization (μB/cell) |
| --- | --- | --- | --- |
| 1 | 133.3 | 11.423 | 0.1 |
| 2 | 108.4 | 6.376 | 0.0 |
| 3 | 68.9 | 6.828 | 0.0 |